Record 1
La5HgGe2: optimized geometry, PBE.

Its energy relative to the elements is -0.599 eV/atom. As for the space group: I4/mcm. The calculation puts the density at 7.1 g cm⁻³. Its density of states at the Fermi level is 16.7 states/eV per cell.

Cell lengths 8.1003, 8.1003, 9.3822 Å; angles 115.57, 115.57, 90.00 degrees
Fractional coordinates of all 16 atoms:
La1 0.5309 0.6850 0.7160
La2 0.8150 0.9691 0.2840
La3 0.0000 0.0000 0.0000
La4 0.5000 0.5000 0.0000
La5 0.1850 0.0309 0.7160
La6 0.6850 0.1850 0.7160
La7 0.0309 0.5309 0.7160
La8 0.3150 0.8150 0.2840
La9 0.9691 0.4691 0.2840
La10 0.4691 0.3150 0.2840
Hg1 0.7500 0.7500 0.5000
Hg2 0.2500 0.2500 0.5000
Ge1 0.1246 0.3754 0.0000
Ge2 0.6246 0.1246 0.0000
Ge3 0.3754 0.8754 0.0000
Ge4 0.8754 0.6246 0.0000

=====

Record 2
La6Hg5Ge: optimized geometry, PBE.

Its energy relative to the elements is -0.552 eV/atom. As for the space group: C2/m. The calculation puts the density at 9.0 g cm⁻³. Its density of states at the Fermi level is 15.0 states/eV per cell.

Cell lengths 5.4765, 9.5832, 9.5832 Å; angles 121.09, 106.57, 106.57 degrees
Fractional coordinates of all 12 atoms:
Ge1 0.0000 0.0000 0.0000
Hg1 0.5000 0.1851 0.8149
Hg2 0.0000 0.3323 0.6677
Hg3 0.5000 0.5000 0.5000
Hg4 0.0000 0.6677 0.3323
Hg5 0.5000 0.8149 0.1851
La1 0.2376 0.0797 0.3959
La2 0.7624 0.6041 0.9203
La3 0.7308 0.2312 0.2312
La4 0.2692 0.7688 0.7688
La5 0.2376 0.3959 0.0797
La6 0.7624 0.9203 0.6041

=====

Record 3
LaHg2Ge: optimized geometry, PBE.

Its energy relative to the elements is -0.426 eV/atom. As for the space group: P4/mmm. The calculation puts the density at 10.0 g cm⁻³. Its density of states at the Fermi level is 2.0 states/eV per cell.

Cell lengths 5.0703, 4.4744, 4.4744 Å; angles 90.00, 90.00, 90.00 degrees
Fractional coordinates of all 4 atoms:
Ge1 0.5000 0.0000 0.0000
Hg1 0.0000 0.0000 0.5000
Hg2 0.0000 0.5000 0.0000
La1 0.5000 0.5000 0.5000

=====

Record 4
La6Hg2Ge: optimized geometry, PBE.

Its energy relative to the elements is -0.426 eV/atom. As for the space group: P-62m. The calculation puts the density at 7.7 g cm⁻³. Its density of states at the Fermi level is 11.0 states/eV per cell.

Cell lengths 4.0753, 8.9480, 8.9480 Å; angles 120.00, 90.00, 90.00 degrees
Fractional coordinates of all 9 atoms:
La1 0.5000 0.3932 0.3932
La2 0.5000 0.6067 0.0000
La3 0.5000 0.0000 0.6067
La4 0.0000 0.7410 0.7410
La5 0.0000 0.2592 0.9999
La6 0.0000 0.9999 0.2592
Hg1 0.0000 0.6667 0.3334
Hg2 0.0000 0.3334 0.6667
Ge1 0.5000 0.0000 0.0000

=====

Record 5
La2Hg3Ge: optimized geometry, PBE.

Its energy relative to the elements is -0.500 eV/atom. As for the space group: Pmm2. The calculation puts the density at 10.0 g cm⁻³. Its density of states at the Fermi level is 3.7 states/eV per cell.

Cell lengths 3.7762, 4.9564, 8.4835 Å; angles 90.00, 90.00, 90.00 degrees
Fractional coordinates of all 6 atoms:
La1 0.0000 0.5000 0.0174
La2 0.0000 0.0000 0.4873
Hg1 0.5000 0.0000 0.8284
Hg2 0.5000 0.0000 0.1672
Hg3 0.5000 0.5000 0.6638
Ge1 0.5000 0.5000 0.3360

=====

Record 6
LaHgGe: optimized geometry, PBE.

Its energy relative to the elements is -0.630 eV/atom. As for the space group: Cmcm. The calculation puts the density at 8.7 g cm⁻³. Its density of states at the Fermi level is 2.1 states/eV per cell.

Cell lengths 4.1304, 4.3328, 9.0596 Å; angles 76.17, 90.00, 90.00 degrees
Fractional coordinates of all 6 atoms:
Ge1 0.7500 0.4560 0.0880
Ge2 0.2500 0.5440 0.9120
Hg1 0.7500 0.2873 0.4254
Hg2 0.2500 0.7127 0.5746
La1 0.7500 0.1000 0.8000
La2 0.2500 0.9000 0.2000